This record from Alexandria via LeMat-Bulk describes an optimized crystal structure of Tb4GaAgHg2. The functional is PBE.

Energy relative to the elements = -0.452 eV/atom

Cell: 9.047 9.047 9.047 Å, 33.44 33.44 33.44°
Element x y z (fractional)
Tb: 0.123 0.123 0.123
Tb: 0.373 0.373 0.373
Tb: 0.627 0.627 0.627
Tb: 0.877 0.877 0.877
Ga: 0.000 0.000 0.000
Ag: 0.500 0.500 0.500
Hg: 0.248 0.248 0.248
Hg: 0.752 0.752 0.752

This record from Alexandria via LeMat-Bulk describes an optimized crystal structure of GaAg2HgTe4. The functional is PBE.

Energy relative to the elements, uncorrected = -0.171 eV/atom

Cell: 7.907 7.906 6.342 Å, 66.36 66.35 47.29°
Element x y z (fractional)
Ga: 0.000 0.000 0.000
Ag: 0.250 0.250 0.250
Ag: 0.750 0.750 0.750
Hg: 0.501 0.501 0.499
Te: 0.112 0.639 0.888
Te: 0.361 0.889 0.111
Te: 0.639 0.112 0.361
Te: 0.889 0.361 0.639

This record from Alexandria via LeMat-Bulk describes an optimized crystal structure of Ga2AgHgTe4. The functional is PBE.

Energy relative to the elements, uncorrected = -0.205 eV/atom

Cell: 7.905 7.775 6.515 Å, 66.49 64.42 49.09°
Element x y z (fractional)
Ga: 0.000 0.000 0.500
Ga: 0.500 0.500 0.000
Ag: 0.252 0.252 0.748
Hg: 0.752 0.752 0.248
Te: 0.145 0.634 0.855
Te: 0.372 0.881 0.119
Te: 0.634 0.145 0.366
Te: 0.881 0.372 0.628

This record from Alexandria via LeMat-Bulk describes an optimized crystal structure of ThGaAgHg. The functional is PBE.

Energy relative to the elements = -0.216 eV/atom

Cell: 7.159 7.159 7.159 Å, 90.00 90.00 90.00°
Element x y z (fractional)
Th: 0.000 0.000 0.000
Th: 0.000 0.500 0.500
Th: 0.500 0.000 0.500
Th: 0.500 0.500 0.000
Ga: 0.250 0.250 0.250
Ga: 0.250 0.750 0.750
Ga: 0.750 0.250 0.750
Ga: 0.750 0.750 0.250
Ag: 0.000 0.000 0.500
Ag: 0.000 0.500 0.000
Ag: 0.500 0.000 0.000
Ag: 0.500 0.500 0.500
Hg: 0.250 0.250 0.750
Hg: 0.250 0.750 0.250
Hg: 0.750 0.250 0.250
Hg: 0.750 0.750 0.750

This record from Alexandria via LeMat-Bulk describes an optimized crystal structure of TlGaAgHg. The functional is PBE.

Energy relative to the elements = 0.119 eV/atom

Cell: 7.152 7.152 7.152 Å, 90.00 90.00 90.00°
Element x y z (fractional)
Tl: 0.000 0.000 0.000
Tl: 0.000 0.500 0.500
Tl: 0.500 0.000 0.500
Tl: 0.500 0.500 0.000
Ga: 0.250 0.250 0.750
Ga: 0.250 0.750 0.250
Ga: 0.750 0.250 0.250
Ga: 0.750 0.750 0.750
Ag: 0.250 0.250 0.250
Ag: 0.250 0.750 0.750
Ag: 0.750 0.250 0.750
Ag: 0.750 0.750 0.250
Hg: 0.000 0.000 0.500
Hg: 0.000 0.500 0.000
Hg: 0.500 0.000 0.000
Hg: 0.500 0.500 0.500

This record from Alexandria via LeMat-Bulk describes an optimized crystal structure of YGaAgHg. The functional is PBE.

Energy relative to the elements = -0.333 eV/atom

Cell: 6.975 6.975 6.975 Å, 90.00 90.00 90.00°
Element x y z (fractional)
Y: 0.000 0.000 0.000
Y: 0.000 0.500 0.500
Y: 0.500 0.000 0.500
Y: 0.500 0.500 0.000
Ga: 0.250 0.250 0.250
Ga: 0.250 0.750 0.750
Ga: 0.750 0.250 0.750
Ga: 0.750 0.750 0.250
Ag: 0.000 0.000 0.500
Ag: 0.000 0.500 0.000
Ag: 0.500 0.000 0.000
Ag: 0.500 0.500 0.500
Hg: 0.250 0.250 0.750
Hg: 0.250 0.750 0.250
Hg: 0.750 0.250 0.250
Hg: 0.750 0.750 0.750

This record from Alexandria via LeMat-Bulk describes an optimized crystal structure of YGaAg2Hg. The functional is PBE.

Energy relative to the elements = 0.092 eV/atom

Cell: 4.863 4.863 5.097 Å, 90.00 90.00 90.00°
Element x y z (fractional)
Y: 0.000 0.000 0.000
Ga: 0.500 0.500 0.500
Ag: 0.000 0.500 0.500
Ag: 0.500 0.000 0.500
Hg: 0.500 0.500 0.000

This record from Alexandria via LeMat-Bulk describes an optimized crystal structure of ZnGaAgHg. The functional is PBE.

Energy relative to the elements = 0.134 eV/atom

Cell: 6.758 6.758 6.758 Å, 90.00 90.00 90.00°
Element x y z (fractional)
Zn: 0.000 0.000 0.000
Zn: 0.000 0.500 0.500
Zn: 0.500 0.000 0.500
Zn: 0.500 0.500 0.000
Ga: 0.250 0.250 0.250
Ga: 0.250 0.750 0.750
Ga: 0.750 0.250 0.750
Ga: 0.750 0.750 0.250
Ag: 0.000 0.000 0.500
Ag: 0.000 0.500 0.000
Ag: 0.500 0.000 0.000
Ag: 0.500 0.500 0.500
Hg: 0.250 0.250 0.750
Hg: 0.250 0.750 0.250
Hg: 0.750 0.250 0.250
Hg: 0.750 0.750 0.750

This record from Alexandria via LeMat-Bulk describes an optimized crystal structure of ZrGaAgHg. The functional is PBE.

Energy relative to the elements = -0.093 eV/atom

Cell: 6.789 6.789 6.789 Å, 90.00 90.00 90.00°
Element x y z (fractional)
Zr: 0.000 0.000 0.000
Zr: 0.000 0.500 0.500
Zr: 0.500 0.000 0.500
Zr: 0.500 0.500 0.000
Ga: 0.250 0.250 0.750
Ga: 0.250 0.750 0.250
Ga: 0.750 0.250 0.250
Ga: 0.750 0.750 0.750
Ag: 0.000 0.000 0.500
Ag: 0.000 0.500 0.000
Ag: 0.500 0.000 0.000
Ag: 0.500 0.500 0.500
Hg: 0.250 0.250 0.250
Hg: 0.250 0.750 0.750
Hg: 0.750 0.250 0.750
Hg: 0.750 0.750 0.250

This record from Alexandria via LeMat-Bulk describes an optimized crystal structure of HoGa5Ag. The functional is PBE.

Energy relative to the elements = -0.258 eV/atom

Cell: 4.461 4.461 6.969 Å, 90.00 90.00 90.00°
Element x y z (fractional)
Ho: 0.000 0.000 0.000
Ga: 0.000 0.500 0.286
Ga: 0.000 0.500 0.714
Ga: 0.500 0.000 0.286
Ga: 0.500 0.000 0.714
Ga: 0.500 0.500 0.000
Ag: 0.000 0.000 0.500

This record from Alexandria via LeMat-Bulk describes an optimized crystal structure of HoGa3Ag3. The functional is PBE.

Polymorph energy (0 for the lowest one) = 542 meV per atom
Energy relative to the elements = 0.310 eV/atom

Cell: 7.026 7.026 7.026 Å, 90.00 90.00 90.00°
Element x y z (fractional)
Ho: 0.000 0.000 0.000
Ho: 0.500 0.500 0.500
Ga: 0.000 0.250 0.500
Ga: 0.000 0.750 0.500
Ga: 0.250 0.500 0.000
Ga: 0.500 0.000 0.250
Ga: 0.500 0.000 0.750
Ga: 0.750 0.500 0.000
Ag: 0.000 0.500 0.250
Ag: 0.000 0.500 0.750
Ag: 0.250 0.000 0.500
Ag: 0.500 0.250 0.000
Ag: 0.500 0.750 0.000
Ag: 0.750 0.000 0.500

This record from Alexandria via LeMat-Bulk describes an optimized crystal structure of Ho5Ga2Ag. The functional is PBE.

Polymorph energy (0 for the lowest one) = 134 meV per atom
Energy relative to the elements = -0.262 eV/atom

Cell: 6.770 6.770 8.556 Å, 90.00 90.00 90.00°
Element x y z (fractional)
Ho: 0.000 0.000 0.000
Ho: 0.250 0.250 0.250
Ho: 0.250 0.250 0.750
Ho: 0.250 0.750 0.250
Ho: 0.250 0.750 0.750
Ho: 0.500 0.500 0.500
Ho: 0.750 0.250 0.250
Ho: 0.750 0.250 0.750
Ho: 0.750 0.750 0.250
Ho: 0.750 0.750 0.750
Ga: 0.000 0.500 0.000
Ga: 0.000 0.500 0.500
Ga: 0.500 0.000 0.000
Ga: 0.500 0.000 0.500
Ag: 0.000 0.000 0.500
Ag: 0.500 0.500 0.000

This record from Alexandria via LeMat-Bulk describes an optimized crystal structure of Ho5Ga2Ag. The functional is PBE.

Polymorph energy (0 for the lowest one) = 0 meV per atom
Energy relative to the elements = -0.396 eV/atom

Cell: 9.047 9.047 9.047 Å, 131.06 131.06 71.71°
Element x y z (fractional)
Ho: 0.000 0.000 0.000
Ho: 0.022 0.522 0.837
Ho: 0.185 0.022 0.500
Ho: 0.315 0.815 0.837
Ho: 0.478 0.315 0.500
Ho: 0.500 0.500 0.000
Ho: 0.522 0.685 0.500
Ho: 0.685 0.185 0.163
Ho: 0.815 0.978 0.500
Ho: 0.978 0.478 0.163
Ga: 0.122 0.378 0.500
Ga: 0.378 0.878 0.255
Ga: 0.622 0.122 0.745
Ga: 0.878 0.622 0.500
Ag: 0.250 0.250 0.000
Ag: 0.750 0.750 0.000

This record from Alexandria via LeMat-Bulk describes an optimized crystal structure of Ho5GaAg4. The functional is PBE.

Energy relative to the elements = -0.380 eV/atom

Cell: 3.588 3.588 18.200 Å, 90.00 90.00 90.00°
Element x y z (fractional)
Ho: 0.000 0.000 0.000
Ho: 0.000 0.000 0.202
Ho: 0.000 0.000 0.403
Ho: 0.000 0.000 0.597
Ho: 0.000 0.000 0.798
Ga: 0.500 0.500 0.500
Ag: 0.500 0.500 0.100
Ag: 0.500 0.500 0.303
Ag: 0.500 0.500 0.697
Ag: 0.500 0.500 0.900

This record from Alexandria via LeMat-Bulk describes an optimized crystal structure of Ho3Ga4Ag2. The functional is PBE.

Energy relative to the elements = -0.545 eV/atom

Cell: 5.774 5.774 8.539 Å, 112.34 112.34 46.37°
Element x y z (fractional)
Ho: 0.000 0.000 0.000
Ho: 0.330 0.330 0.340
Ho: 0.670 0.670 0.660
Ga: 0.034 0.034 0.370
Ga: 0.257 0.257 0.924
Ga: 0.743 0.743 0.076
Ga: 0.966 0.966 0.630
Ag: 0.395 0.395 0.727
Ag: 0.605 0.605 0.273

This record from Alexandria via LeMat-Bulk describes an optimized crystal structure of HoGaAg2. The functional is PBE.

Polymorph energy (0 for the lowest one) = 21 meV per atom
Energy relative to the elements = -0.308 eV/atom

Cell: 6.816 6.816 6.816 Å, 90.00 90.00 90.00°
Element x y z (fractional)
Ho: 0.000 0.000 0.000
Ho: 0.000 0.500 0.500
Ho: 0.500 0.000 0.500
Ho: 0.500 0.500 0.000
Ga: 0.000 0.000 0.500
Ga: 0.000 0.500 0.000
Ga: 0.500 0.000 0.000
Ga: 0.500 0.500 0.500
Ag: 0.250 0.250 0.250
Ag: 0.250 0.250 0.750
Ag: 0.250 0.750 0.250
Ag: 0.250 0.750 0.750
Ag: 0.750 0.250 0.250
Ag: 0.750 0.250 0.750
Ag: 0.750 0.750 0.250
Ag: 0.750 0.750 0.750

This record from Alexandria via LeMat-Bulk describes an optimized crystal structure of HoGaAg2. The functional is PBE.

Polymorph energy (0 for the lowest one) = 0 meV per atom
Energy relative to the elements = -0.329 eV/atom

Cell: 4.817 6.221 5.360 Å, 90.00 90.00 90.00°
Element x y z (fractional)
Ho: 0.250 0.250 0.147
Ho: 0.750 0.750 0.853
Ga: 0.250 0.750 0.214
Ga: 0.750 0.250 0.786
Ag: 0.250 0.004 0.655
Ag: 0.250 0.496 0.655
Ag: 0.750 0.504 0.345
Ag: 0.750 0.996 0.345

This record from Alexandria via LeMat-Bulk describes an optimized crystal structure of Ho8Ga2Ag3. The functional is PBE.

Energy relative to the elements = -0.144 eV/atom

Cell: 8.437 8.437 5.979 Å, 92.28 92.28 56.23°
Element x y z (fractional)
Ho: 0.085 0.085 0.345
Ho: 0.094 0.661 0.133
Ho: 0.316 0.316 0.626
Ho: 0.339 0.906 0.867
Ho: 0.661 0.094 0.133
Ho: 0.684 0.684 0.374
Ho: 0.906 0.339 0.867
Ho: 0.915 0.915 0.655
Ga: 0.253 0.253 0.124
Ga: 0.747 0.747 0.876
Ag: 0.327 0.673 0.500
Ag: 0.500 0.500 0.000
Ag: 0.673 0.327 0.500

This record from Alexandria via LeMat-Bulk describes an optimized crystal structure of HoGaAg. The functional is PBE.

Energy relative to the elements = -0.473 eV/atom

Cell: 10.475 4.548 7.147 Å, 90.00 131.88 90.00°
Element x y z (fractional)
Ho: 0.035 0.000 0.291
Ho: 0.465 0.500 0.709
Ho: 0.535 0.500 0.291
Ho: 0.965 0.000 0.709
Ga: 0.159 0.500 0.117
Ga: 0.341 0.000 0.883
Ga: 0.659 0.000 0.117
Ga: 0.841 0.500 0.883
Ag: 0.173 0.500 0.721
Ag: 0.327 0.000 0.279
Ag: 0.673 0.000 0.721
Ag: 0.827 0.500 0.279

This record from Alexandria via LeMat-Bulk describes an optimized crystal structure of Ho3Ga2Ag. The functional is PBE.

Polymorph energy (0 for the lowest one) = 0 meV per atom
Energy relative to the elements = -0.495 eV/atom

Cell: 5.069 5.069 12.446 Å, 90.00 90.00 120.00°
Element x y z (fractional)
Ho: 0.000 0.000 0.245
Ho: 0.000 0.000 0.755
Ho: 0.333 0.667 0.417
Ho: 0.333 0.667 0.920
Ho: 0.667 0.333 0.080
Ho: 0.667 0.333 0.583
Ga: 0.000 0.000 0.000
Ga: 0.000 0.000 0.500
Ga: 0.333 0.667 0.172
Ga: 0.667 0.333 0.828
Ag: 0.333 0.667 0.673
Ag: 0.667 0.333 0.327

This record from Alexandria via LeMat-Bulk describes an optimized crystal structure of Ho2GaAg. The functional is PBE.

Energy relative to the elements = -0.466 eV/atom

Cell: 7.196 7.196 7.196 Å, 90.00 90.00 90.00°
Element x y z (fractional)
Ho: 0.250 0.250 0.250
Ho: 0.250 0.250 0.750
Ho: 0.250 0.750 0.250
Ho: 0.250 0.750 0.750
Ho: 0.750 0.250 0.250
Ho: 0.750 0.250 0.750
Ho: 0.750 0.750 0.250
Ho: 0.750 0.750 0.750
Ga: 0.000 0.000 0.000
Ga: 0.000 0.500 0.500
Ga: 0.500 0.000 0.500
Ga: 0.500 0.500 0.000
Ag: 0.000 0.000 0.500
Ag: 0.000 0.500 0.000
Ag: 0.500 0.000 0.000
Ag: 0.500 0.500 0.500

This record from Alexandria via LeMat-Bulk describes an optimized crystal structure of Ho4Ga2Ag. The functional is PBE.

Polymorph energy (0 for the lowest one) = 116 meV per atom
Energy relative to the elements = -0.257 eV/atom

Cell: 6.853 6.530 8.732 Å, 90.00 111.92 90.00°
Element x y z (fractional)
Ho: 0.104 0.250 0.068
Ho: 0.165 0.009 0.726
Ho: 0.165 0.491 0.726
Ho: 0.342 0.750 0.310
Ho: 0.658 0.250 0.690
Ho: 0.835 0.509 0.274
Ho: 0.835 0.991 0.274
Ho: 0.896 0.750 0.932
Ga: 0.214 0.250 0.440
Ga: 0.462 0.750 0.007
Ga: 0.538 0.250 0.993
Ga: 0.786 0.750 0.560
Ag: 0.482 0.750 0.675
Ag: 0.518 0.250 0.325

This record from Alexandria via LeMat-Bulk describes an optimized crystal structure of Ho2GaAg3. The functional is PBE.

Polymorph energy (0 for the lowest one) = 0 meV per atom
Energy relative to the elements = -0.353 eV/atom

Cell: 9.389 8.823 5.773 Å, 76.94 66.26 36.80°
Element x y z (fractional)
Ho: 0.247 0.753 0.753
Ho: 0.250 0.250 0.250
Ho: 0.750 0.750 0.750
Ho: 0.753 0.247 0.247
Ga: 0.334 0.334 0.666
Ga: 0.666 0.666 0.334
Ag: 0.171 0.171 0.829
Ag: 0.171 0.659 0.341
Ag: 0.341 0.829 0.171
Ag: 0.659 0.171 0.829
Ag: 0.829 0.341 0.659
Ag: 0.829 0.829 0.171

This record from Alexandria via LeMat-Bulk describes an optimized crystal structure of HoGa2Ag. The functional is PBE.

Energy relative to the elements = -0.355 eV/atom

Cell: 6.809 6.809 6.809 Å, 90.00 90.00 90.00°
Element x y z (fractional)
Ho: 0.000 0.000 0.000
Ho: 0.000 0.500 0.500
Ho: 0.500 0.000 0.500
Ho: 0.500 0.500 0.000
Ga: 0.250 0.250 0.250
Ga: 0.250 0.250 0.750
Ga: 0.250 0.750 0.250
Ga: 0.250 0.750 0.750
Ga: 0.750 0.250 0.250
Ga: 0.750 0.250 0.750
Ga: 0.750 0.750 0.250
Ga: 0.750 0.750 0.750
Ag: 0.000 0.000 0.500
Ag: 0.000 0.500 0.000
Ag: 0.500 0.000 0.000
Ag: 0.500 0.500 0.500

This record from Alexandria via LeMat-Bulk describes an optimized crystal structure of HoGaAg. The functional is PBE.

Energy relative to the elements = -0.284 eV/atom

Cell: 3.384 3.384 10.949 Å, 90.00 90.00 90.00°
Element x y z (fractional)
Ho: 0.000 0.000 0.000
Ho: 0.500 0.500 0.500
Ga: 0.000 0.000 0.676
Ga: 0.500 0.500 0.176
Ag: 0.000 0.000 0.312
Ag: 0.500 0.500 0.812

Looking at M_tot for the records above, in order, we have 0.003, 0.000, 0.000, 0.000, 0.000, 0.000, 0.000, 0.000, 0.000, 0.000, 0.000, 0.001, 0.000, 0.000, 0.000, 0.000, 0.000, 0.000, 0.000, 0.000, 0.000, 0.000, 0.000, 0.000, 0.139 μB per formula unit.